*a*
AsRuBr2 | GGA-PBE | relaxed

Summary:
Volume (Å³/atom): 20.7

Cell: 5.212 5.212 4.385 Å, 69.04 69.04 113.61°
Atoms (fractional coordinates):
1 As 0.000 0.500 0.500
2 Br 0.500 0.500 0.000
3 Br 0.000 0.000 0.000
4 Ru 0.500 0.000 0.500

***

*b*
AsRuBr2 | GGA-PBE | relaxed

Summary:
Volume (Å³/atom): 24.2

Cell: 9.040 9.040 9.040 Å, 22.74 22.74 22.74°
Site moments in Bohr magnetons follow the coordinates.
Atoms (fractional coordinates):
1 Ru 0.486 0.486 0.486  0.93
2 Br 0.219 0.219 0.219  0.09
3 Br 0.024 0.024 0.024  -0.02
4 As 0.770 0.770 0.770  -0.02

***

Tell me which of them is the most stable. Sure, it is *b*.

***

*a*
AsRuBr2 | GGA-PBE | relaxed

Summary:
Volume (Å³/atom): 22.7

Cell: 3.121 3.121 9.318 Å, 90.00 90.00 90.00°
Site moments in Bohr magnetons follow the coordinates.
Atoms (fractional coordinates):
1 Br 0.000 0.000 0.431  0.13
2 Br 0.000 0.000 0.069  0.13
3 As 0.500 0.500 0.750  -0.25
4 Ru 0.500 0.500 0.250  1.83

***

*b*
AsRuBr2 | GGA-PBE | relaxed

Summary:
Volume (Å³/atom): 19.2

Cell: 4.790 4.790 3.345 Å, 90.00 90.00 89.94°
Atoms (fractional coordinates):
1 Ru 0.500 0.000 0.500
2 Br 0.500 0.500 0.000
3 Br 0.000 0.000 0.000
4 As 0.000 0.500 0.500

***

*c*
AsRuBr2 | GGA-PBE | relaxed

Summary:
Volume (Å³/atom): 20.8

Cell: 3.182 5.850 4.467 Å, 90.00 90.00 90.00°
Site moments in Bohr magnetons follow the coordinates.
Atoms (fractional coordinates):
1 Br 0.500 0.500 0.000  0.02
2 Br 0.000 0.000 0.000  0.05
3 Ru 0.500 0.000 0.500  1.25
4 As 0.000 0.500 0.500  -0.04

***

*d*
AsRuBr2 | GGA-PBE | relaxed

Summary:
Volume (Å³/atom): 19.6

Cell: 4.803 4.803 4.803 Å, 60.00 60.00 60.00°
Site moments in Bohr magnetons follow the coordinates.
Atoms (fractional coordinates):
1 Ru 0.750 0.750 0.750  1.11
2 As 0.500 0.500 0.500  -0.14
3 Br 0.250 0.250 0.250  0.08
4 Br 0.000 0.000 0.000  0.02

***

Tell me which of them is the most stable. Sure, it is *a*.

***

*a*
AsRuBr2 | GGA-PBE | relaxed

Summary:
Volume (Å³/atom): 23.3

Cell: 6.753 6.753 6.753 Å, 152.83 138.37 50.43°
Atoms (fractional coordinates):
1 As 0.657 0.157 0.500
2 Br 0.316 0.816 0.500
3 Br 0.016 0.016 0.000
4 Ru 0.510 0.510 0.000

***

*b*
AsRuBr2 | GGA-PBE | relaxed

Summary:
Volume (Å³/atom): 30.5

Cell: 3.740 7.325 7.332 Å, 37.36 90.00 90.00°
Atoms (fractional coordinates):
1 Br 0.000 0.378 0.376
2 Br 0.000 0.122 0.124
3 Ru 0.500 0.250 0.250
4 As 0.500 0.750 0.750

***

*c*
AsRuBr2 | GGA-PBE | relaxed

Summary:
Volume (Å³/atom): 23.4

Cell: 3.708 5.589 5.597 Å, 53.96 90.00 90.00°
Atoms (fractional coordinates):
1 Ru 0.000 0.528 0.528
2 As 0.500 0.670 0.669
3 Br 0.500 0.322 0.322
4 Br 0.000 0.980 0.980

***

Tell me which of them is the most stable. Sure, it is *c*.

***

*a*
AsRu2Br | GGA-PBE | relaxed

Summary:
Volume (Å³/atom): 16.8

Cell: 2.967 5.459 4.149 Å, 90.00 90.00 90.00°
Atoms (fractional coordinates):
1 Ru 0.500 0.500 0.000
2 Ru 0.000 0.000 0.000
3 Br 0.000 0.500 0.500
4 As 0.500 0.000 0.500

***

*b*
AsRu2Br | GGA-PBE | relaxed

Summary:
Volume (Å³/atom): 18.9

Cell: 2.950 2.950 8.699 Å, 90.00 90.00 90.00°
Site moments in Bohr magnetons follow the coordinates.
Atoms (fractional coordinates):
1 Ru 0.500 0.500 0.230  0.14
2 Ru 0.000 0.000 0.030  0.62
3 Br 0.500 0.500 0.826  0.03
4 As 0.000 0.000 0.414  0.02

***

Tell me which of them is the most stable. Sure, it is *b*.

***

*a*
AsRu2Br | GGA-PBE | relaxed

Summary:
Volume (Å³/atom): 18.3

Cell: 3.051 3.840 6.240 Å, 90.00 90.00 90.00°
Atoms (fractional coordinates):
1 Ru 0.500 0.500 0.245
2 Ru 0.000 0.000 0.011
3 As 0.000 0.000 0.395
4 Br 0.500 0.500 0.849

***

*b*
AsRu2Br | GGA-PBE | relaxed

Summary:
Volume (Å³/atom): 21.5

Cell: 5.519 5.519 6.873 Å, 66.33 66.33 90.00°
Atoms (fractional coordinates):
1 Br 0.000 0.000 0.000
2 Br 0.750 0.250 0.500
3 Ru 0.145 0.625 0.250
4 Ru 0.875 0.855 0.750
5 Ru 0.605 0.125 0.250
6 Ru 0.375 0.395 0.750
7 As 0.500 0.500 0.000
8 As 0.250 0.750 0.500

***

Tell me which of them is the most stable. Sure, it is *a*.

***

*a*
AsRuSBr2 | GGA-PBE | relaxed

Summary:
Volume (Å³/atom): 23.9

Cell: 5.000 5.000 4.773 Å, 90.00 90.00 90.00°
Atoms (fractional coordinates):
1 Ru 0.000 0.000 0.000
2 Br 0.500 0.000 0.000
3 Br 0.000 0.500 0.000
4 S 0.500 0.500 0.500
5 As 0.000 0.000 0.500

***

*b*
AsRuSBr2 | GGA-PBE | relaxed

Summary:
Volume (Å³/atom): 25.5

Cell: 5.126 5.126 4.857 Å, 90.00 90.00 90.00°
Site moments in Bohr magnetons follow the coordinates.
Atoms (fractional coordinates):
1 Ru 0.500 0.500 0.500  2.72
2 S 0.000 0.000 0.000  -0.06
3 Br 0.000 0.500 0.000  0.05
4 Br 0.500 0.000 0.000  0.05
5 As 0.000 0.000 0.500  0.09

***

Tell me which of them is the most stable. Sure, it is *a*.